[1]
DFT (PBE-GGA) results for crystalline Ho6MgSc3 at its relaxed geometry.

Values from the calculation:
- Offset from the most stable computed form: 0.0615 eV per atom
- Fermi-level density of states: 54.03 states/eV/cell
- E_form: 2.33 kcal/mol of atoms
- Crystal system: orthorhombic

a b c (Å): 9.3623 19.4359 6.2529
angles (deg): 90.00 90.00 90.00
Closest atoms and distances in Å follow each position.
Space group Cmc2_1 (No. 36)
One atom of each set of equivalent atoms:
Ho1 0.0000 0.0182 0.0000 x4  1 Mg 3.10, 4 Ho 3.21-3.46, 4 Sc 3.29-3.40
Ho2 0.0000 0.2908 0.0328 x4  1 Sc 3.09, 1 Mg 3.22, 4 Ho 3.26-3.31
Ho3 0.1823 0.4458 0.2394 x8  3 Sc 3.27-3.47, 4 Ho 3.41-3.61, 1 Mg 3.55
Ho4 0.1841 0.2837 0.4748 x8  3 Sc 3.10-3.36, 3 Ho 3.26-3.45
Mg1 0.0000 0.1544 0.7421 x4  2 Ho 3.10-3.22, 2 Sc 3.15
Sc1 0.0000 0.4113 0.7114 x4  5 Ho 3.09-3.36, 2 Sc 3.23
Sc2 0.1704 0.1249 0.3180 x8  5 Ho 3.10-3.40, 1 Mg 3.15, 2 Sc 3.19-3.23


[2]
DFT (PBE-GGA) results for crystalline HoMg4Sc at its relaxed geometry.

Values from the calculation:
- Offset from the most stable computed form: 0.0000 eV per atom
- Fermi-level density of states: 4.00 states/eV/cell
- E_form: -0.86 kcal/mol of atoms
- Crystal system: monoclinic

a b c (Å): 3.2045 5.1420 8.9238
angles (deg): 90.00 90.16 90.00
Closest atoms and distances in Å follow each position.
Space group P2/m (No. 10)
One atom of each set of equivalent atoms:
Ho1 0.0000 0.0000 0.0000 x1  2 Ho 3.20, 12 Mg 3.40-3.42
Mg1 0.4965 0.0000 0.6614 x2  5 Mg 2.88-3.20
Mg2 0.4969 0.5000 0.8269 x2  5 Mg 2.97-3.20, 1 Sc 3.32
Sc1 0.0000 0.5000 0.5000 x1  2 Sc 3.20, 12 Mg 3.32-3.36


[3]
DFT (PBE-GGA) results for crystalline HoMg2Sc at its relaxed geometry.

Values from the calculation:
- Fermi-level density of states: 5.53 states/eV/cell
- E_form: -1.20 kcal/mol of atoms
- Crystal system: tetragonal

a b c (Å): 3.6781 3.6781 7.4258
angles (deg): 90.00 90.00 90.00
Closest atoms and distances in Å follow each position.
Space group P4/mmm (No. 123)
One atom of each set of equivalent atoms:
Ho1 0.0000 0.0000 0.0000 x1  8 Mg 3.27
Mg1 0.5000 0.5000 0.2676 x2  4 Sc 3.12, 4 Ho 3.27, 1 Mg 3.45
Sc1 0.0000 0.0000 0.5000 x1  8 Mg 3.12


[4]
DFT (PBE-GGA) results for crystalline Ho6MgSc3 at its relaxed geometry.

Values from the calculation:
- Offset from the most stable computed form: 0.0000 eV per atom
- Fermi-level density of states: 27.11 states/eV/cell
- E_form: 0.91 kcal/mol of atoms
- Crystal system: monoclinic

a b c (Å): 11.3400 3.4439 14.7918
angles (deg): 90.00 101.80 90.00
Closest atoms and distances in Å follow each position.
Space group P2_1/m (No. 11)
One atom of each set of equivalent atoms:
Ho1 0.0061 0.2500 0.2540 x2  3 Sc 3.36, 7 Ho 3.42-3.44, 2 Mg 3.50
Ho2 0.1948 0.2500 0.6462 x2  4 Sc 3.35-3.46, 8 Ho 3.42-3.47
Ho3 0.2068 0.7500 0.1545 x2  3 Sc 3.35-3.37, 6 Ho 3.41-3.44, 3 Mg 3.45
Ho4 0.2929 0.7500 0.8516 x2  8 Ho 3.37-3.51, 2 Mg 3.43, 2 Sc 3.50
Ho5 0.3980 0.7500 0.5478 x2  6 Sc 3.38-3.43, 6 Ho 3.41-3.44
Ho6 0.4090 0.2500 0.0570 x2  2 Sc 3.35, 9 Ho 3.37-3.51, 1 Mg 3.60
Mg1 0.0928 0.2500 0.9536 x2  4 Mg 3.23-3.44, 8 Ho 3.43-3.60
Sc1 0.1014 0.7500 0.4501 x2  6 Ho 3.35-3.38, 6 Sc 3.42-3.44
Sc2 0.3019 0.2500 0.3497 x2  6 Ho 3.35-3.43, 6 Sc 3.39-3.44
Sc3 0.4982 0.2500 0.7467 x2  8 Ho 3.35-3.50, 4 Sc 3.39-3.44